! Sm2HgS2O2 | the Alexandria database | PBE | relaxed; values from VASP
! Electronic total energy in eV per atom: -5.89
! Symmetry: P-3m1
&SYSTEM
  ibrav = 0, nat = 7, ntyp = 4
/
ATOMIC_SPECIES
Sm 150.36 Sm.upf
Hg 200.59 Hg.upf
S 32.06 S.upf
O 16.00 O.upf
ATOMIC_POSITIONS crystal
Sm 0.667 0.333 0.282
Sm 0.333 0.667 0.718
Hg 0.000 0.000 0.000
S 0.000 0.000 0.422
S 0.000 0.000 0.578
O 0.667 0.333 0.766
O 0.333 0.667 0.234
CELL_PARAMETERS angstrom
-3.350 1.021 1.525
0.190 -1.042 -3.670
-2.240 -12.455 3.419


! SnHgS2O | the Alexandria database | PBE | relaxed; values from VASP
! Electronic total energy in eV per atom: -3.12
! Symmetry: P4/mmm
! DOS at the Fermi energy in states/eV per cell: 2.00
&SYSTEM
  ibrav = 0, nat = 5, ntyp = 4
/
ATOMIC_SPECIES
S 32.06 S.upf
Hg 200.59 Hg.upf
O 16.00 O.upf
Sn 118.71 Sn.upf
ATOMIC_POSITIONS crystal
S 0.000 0.000 0.500
S 0.500 0.000 0.000
Hg 0.000 0.500 0.000
O 0.000 0.000 0.000
Sn 0.500 0.500 0.500
CELL_PARAMETERS angstrom
4.827 0.000 0.000
0.000 4.337 0.000
0.000 0.000 4.827


! HgTeSO2 | the Alexandria database | PBE | relaxed; values from VASP
! Electronic total energy in eV per atom: -2.90
! Symmetry: P4/mmm
! DOS at the Fermi energy in states/eV per cell: 5.95
&SYSTEM
  ibrav = 0, nat = 5, ntyp = 4
/
ATOMIC_SPECIES
S 32.06 S.upf
Te 127.60 Te.upf
Hg 200.59 Hg.upf
O 16.00 O.upf
ATOMIC_POSITIONS crystal
S 0.500 0.500 0.500
Te 0.000 0.500 0.000
Hg 0.000 0.000 0.000
O 0.000 0.000 0.500
O 0.500 0.000 0.000
CELL_PARAMETERS angstrom
-0.478 -3.944 -0.696
2.316 1.009 -7.312
3.819 -0.660 1.119


! ThHgS2O8 | the Alexandria database | PBE | relaxed; values from VASP
! Electronic total energy in eV per atom: -6.48
! Symmetry: P-3m1
! DOS at the Fermi energy in states/eV per cell: 0.00
&SYSTEM
  ibrav = 0, nat = 12, ntyp = 4
/
ATOMIC_SPECIES
Th 232.04 Th.upf
Hg 200.59 Hg.upf
S 32.06 S.upf
O 16.00 O.upf
ATOMIC_POSITIONS crystal
Th 0.000 0.000 0.000
Hg 0.000 0.000 0.500
S 0.667 0.667 0.200
S 0.333 0.333 0.800
O 0.611 0.195 0.866
O 0.805 0.805 0.134
O 0.667 0.667 0.357
O 0.333 0.333 0.643
O 0.195 0.195 0.866
O 0.195 0.611 0.866
O 0.805 0.389 0.134
O 0.389 0.805 0.134
CELL_PARAMETERS angstrom
5.796 0.127 -0.156
2.787 5.084 -0.156
0.241 0.146 9.042


Which of these has the highest electronic total energy? HgTeSO2